The following is a PBE-GGA calculation of BaIr2Cl after structural relaxation, from Alexandria.

Unit cell a=3.169 b=3.169 c=8.125 alpha=90.00 beta=90.00 gamma=96.75
Fractional coordinates of all 4 atoms:
1 Ba 0.000 0.000 0.000
2 Ir 0.500 0.500 0.309
3 Ir 0.500 0.500 0.691
4 Cl 0.000 0.000 0.500

Spin magnetization ... 0.0 μB per formula unit
ΔE to the lowest computed polymorph ... 1308 meV/atom
Space group ... Cmmm, No. 65